# BaMnV2Au

A relaxed BaMnV2Au crystal (GGA-PBE, Alexandria via LeMat-Bulk).

## Properties
The value obtained for the formation energy from the elements is 4.6 eV/f.u.

Cell: 5.155 5.105 5.155 Å, 90.00 90.00 90.00°
Last column: magnetic moment on the atom in μB.
Atoms (fractional coordinates):
Mn (0.000, 0.500, 0.000)  4.06
Au (0.000, 0.000, 0.000)  0.14
Ba (0.500, 0.500, 0.500)  0.11
V (0.000, 0.000, 0.500)  2.59
V (0.500, 0.000, 0.000)  2.56

# Ce3Nd

A relaxed Ce3Nd crystal (GGA-PBE, Alexandria via LeMat-Bulk).

## Properties
The value obtained for the formation energy from the elements is 0.4 eV/f.u. The excess energy over the best structure of this formula in the dataset is 0.4 meV/atom.

Cell: 4.853 4.853 5.966 Å, 114.00 114.00 90.00°
Atoms (fractional coordinates):
Nd (0.000, 0.000, 0.000)
Ce (0.750, 0.250, 0.500)
Ce (0.250, 0.750, 0.500)
Ce (0.500, 0.500, 0.000)

# LaTaMo2

A relaxed LaTaMo2 crystal (GGA-PBE, Alexandria via LeMat-Bulk).

## Properties
The value obtained for the formation energy from the elements is 1.2 eV/f.u. The excess energy over the best structure of this formula in the dataset is 0.0 meV/atom.

Cell: 3.206 3.205 7.955 Å, 90.00 90.00 90.00°
Atoms (fractional coordinates):
La (0.500, 0.500, 0.759)
Mo (0.000, 0.000, 0.060)
Mo (0.500, 0.500, 0.239)
Ta (0.000, 0.000, 0.442)

# TbFeSi3Ni

A relaxed TbFeSi3Ni crystal (GGA-PBE, Alexandria via LeMat-Bulk).

## Properties
The calculation puts the formation energy (no corrections) at -0.3591 eV/atom.

Cell: 5.495 5.995 6.747 Å, 116.38 90.00 90.00°
Atoms (fractional coordinates):
Tb (0.750, 0.257, 0.514)
Tb (0.250, 0.743, 0.486)
Fe (0.250, 0.035, 0.071)
Fe (0.750, 0.965, 0.929)
Si (0.250, 0.208, 0.417)
Si (0.000, 0.295, 0.000)
Si (0.500, 0.705, 0.000)
Si (0.500, 0.295, 0.000)
Si (0.000, 0.705, 0.000)
Si (0.750, 0.792, 0.583)
Ni (0.250, 0.384, 0.767)
Ni (0.750, 0.616, 0.233)

# Gd2MgCd

A relaxed Gd2MgCd crystal (GGA-PBE, Alexandria via LeMat-Bulk).

## Properties
The value obtained for the formation energy from the elements is -0.9 eV/f.u. The excess energy over the best structure of this formula in the dataset is 0.0 meV/atom.

Cell: 3.843 5.323 5.323 Å, 90.00 90.00 90.00°
Last column: magnetic moment on the atom in μB.
Atoms (fractional coordinates):
Mg (0.500, 0.000, 0.000)  0.00
Gd (0.000, 0.000, 0.500)  7.21
Gd (0.000, 0.500, 0.000)  7.21
Cd (0.500, 0.500, 0.500)  0.00

# LaTl2Bi

A relaxed LaTl2Bi crystal (GGA-PBE, Alexandria via LeMat-Bulk).

## Properties
The value obtained for the formation energy from the elements is 0.3 eV/f.u.

Cell: 3.576 3.576 12.357 Å, 81.68 81.68 60.00°
Atoms (fractional coordinates):
Tl (0.091, 0.091, 0.728)
Tl (0.909, 0.909, 0.272)
Bi (0.500, 0.500, 0.500)
La (0.000, 0.000, 0.000)

# Dy2TiAl

A relaxed Dy2TiAl crystal (GGA-PBE, Alexandria via LeMat-Bulk).

## Properties
The value obtained for the formation energy from the elements is 1.3 eV/f.u. The excess energy over the best structure of this formula in the dataset is 394.5 meV/atom.

Cell: 3.293 3.293 10.981 Å, 81.38 81.38 60.00°
Last column: magnetic moment on the atom in μB.
Atoms (fractional coordinates):
Ti (0.000, 0.000, 0.000)  1.36
Al (0.500, 0.500, 0.500)  0.00
Dy (0.092, 0.092, 0.723)  0.17
Dy (0.908, 0.908, 0.277)  0.17

# Ce3CuIr2

A relaxed Ce3CuIr2 crystal (GGA-PBE, Alexandria via LeMat-Bulk).

## Properties
The value obtained for the formation energy from the elements is -3.3 eV/f.u.

Cell: 4.042 11.313 11.863 Å, 90.00 90.00 90.00°
Last column: magnetic moment on the atom in μB.
Atoms (fractional coordinates):
Ce (0.250, 0.370, 0.058)  0.24
Ce (0.750, 0.630, 0.942)  0.24
Ce (0.750, 0.870, 0.442)  0.24
Ce (0.250, 0.130, 0.558)  0.24
Ce (0.250, 0.674, 0.205)  0.54
Ce (0.750, 0.326, 0.795)  0.54
Ce (0.750, 0.174, 0.295)  0.54
Ce (0.250, 0.826, 0.705)  0.54
Ce (0.250, 0.423, 0.378)  0.50
Ce (0.750, 0.577, 0.622)  0.50
Ce (0.750, 0.923, 0.122)  0.50
Ce (0.250, 0.077, 0.878)  0.50
Cu (0.250, 0.113, 0.127)  0.00
Cu (0.750, 0.887, 0.873)  0.00
Cu (0.750, 0.613, 0.373)  0.00
Cu (0.250, 0.387, 0.627)  0.00
Ir (0.250, 0.693, 0.495)  -0.04
Ir (0.750, 0.307, 0.505)  -0.04
Ir (0.750, 0.193, 0.005)  -0.04
Ir (0.250, 0.807, 0.995)  -0.04
Ir (0.250, 0.003, 0.327)  -0.03
Ir (0.750, 0.997, 0.673)  -0.03
Ir (0.750, 0.503, 0.173)  -0.03
Ir (0.250, 0.497, 0.827)  -0.03

# RbMnAgTe2

A relaxed RbMnAgTe2 crystal (GGA-PBE, Alexandria via LeMat-Bulk).

## Properties
The calculation puts the formation energy (no corrections) at -0.4270 eV/atom.

Cell: 6.887 6.500 8.345 Å, 112.92 90.00 90.00°
Last column: magnetic moment on the atom in μB.
Atoms (fractional coordinates):
Rb (0.238, 0.750, 0.500)  0.01
Rb (0.762, 0.250, 0.500)  0.01
Mn (0.500, 0.750, 0.000)  4.22
Mn (0.500, 0.250, 0.000)  4.22
Ag (0.000, 0.000, 0.000)  0.04
Ag (0.000, 0.500, 0.000)  0.04
Te (0.708, 0.887, 0.773)  0.06
Te (0.708, 0.613, 0.227)  0.06
Te (0.292, 0.387, 0.773)  0.06
Te (0.292, 0.113, 0.227)  0.06

# Rb3BaAc2O6

A relaxed Rb3BaAc2O6 crystal (GGA-PBE, Alexandria via LeMat-Bulk).

## Properties
The calculation puts the formation energy (no corrections) at -2.2313 eV/atom.

Cell: 6.786 6.786 7.050 Å, 99.31 99.31 119.93°
Last column: magnetic moment on the atom in μB.
Atoms (fractional coordinates):
Rb (0.165, 0.835, 0.500)  0.00
Rb (0.835, 0.165, 0.500)  0.00
Rb (0.500, 0.500, 0.500)  0.00
Ba (0.000, 0.000, 0.000)  0.00
Ac (0.333, 0.667, 0.000)  0.03
Ac (0.667, 0.333, 0.000)  0.03
O (0.936, 0.578, 0.807)  0.14
O (0.707, 0.707, 0.192)  0.14
O (0.064, 0.422, 0.193)  0.14
O (0.578, 0.936, 0.807)  0.14
O (0.293, 0.293, 0.808)  0.14
O (0.422, 0.064, 0.193)  0.14

# Pm6YHo2Sc

A relaxed Pm6YHo2Sc crystal (GGA-PBE, Alexandria via LeMat-Bulk).

## Properties
The value obtained for the formation energy from the elements is 1.3 eV/f.u.

Cell: 9.383 8.923 8.923 Å, 117.99 93.17 93.17°
Atoms (fractional coordinates):
Pm (0.051, 0.126, 0.768)
Pm (0.449, 0.232, 0.874)
Pm (0.949, 0.874, 0.232)
Pm (0.551, 0.768, 0.126)
Pm (0.304, 0.005, 0.440)
Pm (0.196, 0.560, 0.995)
Pm (0.696, 0.995, 0.560)
Pm (0.804, 0.440, 0.005)
Pm (0.112, 0.713, 0.491)
Pm (0.388, 0.509, 0.287)
Pm (0.888, 0.287, 0.509)
Pm (0.612, 0.491, 0.713)
Y (0.250, 0.975, 0.025)
Y (0.750, 0.025, 0.975)
Ho (0.453, 0.795, 0.692)
Ho (0.047, 0.308, 0.205)
Ho (0.547, 0.205, 0.308)
Ho (0.953, 0.692, 0.795)
Sc (0.250, 0.421, 0.579)
Sc (0.750, 0.579, 0.421)

# NaIn2Pb5

A relaxed NaIn2Pb5 crystal (GGA-PBE, Alexandria via LeMat-Bulk).

## Properties
The value obtained for the formation energy from the elements is 0.2 eV/f.u. The excess energy over the best structure of this formula in the dataset is 35.9 meV/atom.

Cell: 8.394 8.394 9.098 Å, 117.47 117.47 90.00°
Atoms (fractional coordinates):
Na (0.750, 0.750, 0.500)
Na (0.250, 0.250, 0.500)
In (0.140, 0.360, 0.000)
In (0.640, 0.140, 0.000)
In (0.360, 0.860, 0.000)
In (0.860, 0.640, 0.000)
Pb (0.482, 0.688, 0.670)
Pb (0.812, 0.018, 0.330)
Pb (0.000, 0.000, 0.000)
Pb (0.500, 0.500, 0.000)
Pb (0.188, 0.982, 0.670)
Pb (0.688, 0.188, 0.670)
Pb (0.982, 0.482, 0.670)
Pb (0.312, 0.812, 0.330)
Pb (0.018, 0.518, 0.330)
Pb (0.518, 0.312, 0.330)

# SrTl2Te

A relaxed SrTl2Te crystal (GGA-PBE, Alexandria via LeMat-Bulk).

## Properties
The excess energy over the best structure of this formula in the dataset is 176.9 meV/atom. The calculation puts the formation energy (no corrections) at -0.4679 eV/atom.

Cell: 9.258 9.258 7.339 Å, 50.90 50.90 90.00°
Atoms (fractional coordinates):
Sr (0.500, 0.500, 0.000)
Sr (0.250, 0.750, 0.500)
Tl (0.648, 0.125, 0.250)
Tl (0.102, 0.625, 0.250)
Tl (0.375, 0.352, 0.750)
Tl (0.875, 0.898, 0.750)
Te (0.000, 0.000, 0.000)
Te (0.750, 0.250, 0.500)

no.,total magnetization (μB/cell)
1,11.01
2,0.00
3,0.00
4,0.00
5,15.11
6,0.00
7,2.19
8,6.38
9,10.00
10,1.13
11,0.00
12,0.00
13,0.00